(1)
CaPmCd2 | PBE-GGA | relaxed

Cell lengths 3.7425, 3.7425, 10.2927 Å; angles 79.53, 79.53, 60.00 degrees
Closest atoms and distances in Å follow each position.
Atoms (fractional coordinates):
Ca 0.5000 0.5000 0.5000  6 Cd 3.31
Cd 0.7502 0.7502 0.7495  3 Ca 3.31, 3 Pm 3.32
Pm 0.0000 0.0000 0.0000  6 Cd 3.32
Cd 0.2498 0.2498 0.2505  3 Ca 3.31, 3 Pm 3.32

The energy is -2.28 eV/atom. The space group is No. 166. The value obtained for the energy above the most stable polymorph in this dataset is 226 meV/atom. Its formation energy is -0.137 eV/atom.

***

(2)
CaPmCd2 | PBE-GGA | relaxed

Cell lengths 5.4101, 5.4101, 5.4101 Å; angles 60.00, 60.00, 60.00 degrees
Closest atoms and distances in Å follow each position.
Atoms (fractional coordinates):
Pm 0.0000 0.0000 0.0000  8 Cd 3.31
Cd 0.2500 0.2500 0.2500  4 Pm 3.31, 4 Ca 3.31
Cd 0.7500 0.7500 0.7500  4 Ca 3.31, 4 Pm 3.31
Ca 0.5000 0.5000 0.5000  8 Cd 3.31

The energy is -2.51 eV/atom. The space group is No. 225. The value obtained for the energy above the most stable polymorph in this dataset is 0 meV/atom. Its formation energy is -0.363 eV/atom.

***

(3)
CaPmCd4 | PBE-GGA | relaxed

Cell lengths 5.9927, 5.9927, 5.9927 Å; angles 60.00, 60.00, 60.00 degrees
Closest atoms and distances in Å follow each position.
Atoms (fractional coordinates):
Pm 0.0000 0.0000 0.0000  12 Cd 3.51, 4 Ca 3.67
Cd 0.6255 0.6255 0.6255  6 Cd 2.98-3.01
Cd 0.6255 0.6255 0.1234  6 Cd 2.98-3.01
Cd 0.1234 0.6255 0.6255  6 Cd 2.98-3.01
Ca 0.2500 0.2500 0.2500  12 Cd 3.51, 4 Pm 3.67
Cd 0.6255 0.1234 0.6255  6 Cd 2.98-3.01

The energy is -2.03 eV/atom. The space group is No. 216. The value obtained for the energy above the most stable polymorph in this dataset is 42 meV/atom. Its formation energy is -0.294 eV/atom.

***

The records above yield density of states at the Fermi level values of 4.48, 3.40, 3.32 states/eV/f.u., respectively.